(1)
This record from Alexandria describes a geometry-optimized RbAcSeO structure. The functional is GGA-PBE.

The crystal system is trigonal. Its total energy is -5.4661 eV per atom. The value obtained for the density of states at the Fermi level is 0.00 states/eV/atom. The total magnetic moment comes out at 0.00 μB/f.u.

It has space group R3m (No. 160, hexagonal axes), with a = 4.1866 Å, b = 4.1866 Å, c = 22.7230 Å, α = 90.00°, β = 90.00° and γ = 120.00°. Symmetry generates all atoms from Rb at (0.0000, 0.0000, 0.0000), Ac at (0.0000, 0.0000, 0.4825), Se at (0.0000, 0.0000, 0.2357) and O at (0.0000, 0.0000, 0.7756).

---

(2)
This record from Alexandria describes a geometry-optimized Nd6Ir2SeCl3 structure. The functional is GGA-PBE.

The crystal system is monoclinic. Its total energy is -5.9492 eV per atom. The value obtained for the density of states at the Fermi level is 0.52 states/eV/atom. The total magnetic moment comes out at 0.00 μB/f.u.

It has space group C2/m (No. 12), with a = 7.343 Å, b = 12.700 Å, c = 7.660 Å, α = 90.00°, β = 108.59° and γ = 90.00°. Symmetry generates all atoms from Nd at (0.213, 0.000, 0.210), Nd at (0.250, 0.179, 0.788), Ir at (0.000, 0.167, 0.000), Se at (0.000, 0.500, 0.000), Cl at (0.000, 0.000, 0.500) and Cl at (0.000, 0.341, 0.500).

---

(3)
This record from Alexandria describes a geometry-optimized LuThHgBi structure. The functional is GGA-PBE.

The crystal system is cubic. Its total energy is -4.3579 eV per atom. The value obtained for the density of states at the Fermi level is 1.12 states/eV/atom. The total magnetic moment comes out at 0.00 μB/f.u.

It has space group F-43m (No. 216), with a = 7.661 Å, b = 7.661 Å, c = 7.661 Å, α = 90.00°, β = 90.00° and γ = 90.00°. Symmetry generates all atoms from Lu at (0.000, 0.000, 0.000), Th at (0.000, 0.000, 0.500), Hg at (0.250, 0.250, 0.750) and Bi at (0.250, 0.250, 0.250).

---

(4)
This record from Alexandria describes a geometry-optimized K3MgAg3Cl8 structure. The functional is GGA-PBE.

The crystal system is monoclinic. Its total energy is -3.1886 eV per atom. The value obtained for the density of states at the Fermi level is 0.00 states/eV/atom. The total magnetic moment comes out at 0.00 μB/f.u.

It has space group C2/m (No. 12), with a = 14.431 Å, b = 8.062 Å, c = 8.510 Å, α = 90.00°, β = 123.58° and γ = 90.00°. Symmetry generates all atoms from K at (0.000, 0.000, 0.000), K at (0.250, 0.250, 0.000), Mg at (0.000, 0.000, 0.500), Ag at (0.000, 0.500, 0.500), Ag at (0.250, 0.250, 0.500), Cl at (0.004, 0.229, 0.297), Cl at (0.214, 0.000, 0.694) and Cl at (0.242, 0.500, 0.709).

---

(5)
This record from Alexandria describes a geometry-optimized NaMnPt structure. The functional is GGA-PBE.

The energy above the most stable polymorph in this dataset is 251.9 meV per atom. The crystal system is orthorhombic. Its total energy is -5.3397 eV per atom. The value obtained for the density of states at the Fermi level is 0.73 states/eV/atom. The total magnetic moment comes out at 0.00 μB/f.u.

It has space group Pmm2 (No. 25), with a = 2.840 Å, b = 4.518 Å, c = 8.213 Å, α = 90.00°, β = 90.00° and γ = 90.00°. Symmetry generates all atoms from Na at (0.000, 0.000, 0.000), Na at (0.000, 0.000, 0.361), Mn at (0.000, 0.500, 0.695), Mn at (0.500, 0.500, 0.515), Pt at (0.500, 0.000, 0.684) and Pt at (0.500, 0.500, 0.218).

---

(6)
This record from Alexandria describes a geometry-optimized NiHgRh2C structure. The functional is GGA-PBE.

The energy above the most stable polymorph in this dataset is 0.0 meV per atom. The crystal system is tetragonal. Its total energy is -5.9021 eV per atom. The value obtained for the density of states at the Fermi level is 0.20 states/eV/atom. The total magnetic moment comes out at 0.00 μB/f.u.

It has space group P4/mmm (No. 123), with a = 4.126 Å, b = 4.126 Å, c = 3.924 Å, α = 90.00°, β = 90.00° and γ = 90.00°. Symmetry generates all atoms from Ni at (0.000, 0.000, 0.000), Hg at (0.500, 0.500, 0.000), Rh at (0.000, 0.500, 0.500) and C at (0.000, 0.000, 0.500).

---

(7)
This record from Alexandria describes a geometry-optimized CaLaMoPd2 structure. The functional is GGA-PBE.

The energy above the most stable polymorph in this dataset is 790.0 meV per atom. The crystal system is tetragonal. Its total energy is -4.4171 eV per atom. The value obtained for the density of states at the Fermi level is 0.61 states/eV/atom. The total magnetic moment comes out at 2.83 μB/f.u.

It has space group P4/mmm (No. 123), with a = 4.810 Å, b = 4.810 Å, c = 5.578 Å, α = 90.00°, β = 90.00° and γ = 90.00°. Symmetry generates all atoms from Ca at (0.000, 0.000, 0.000), La at (0.000, 0.000, 0.500), Mo at (0.500, 0.500, 0.500) and Pd at (0.000, 0.500, 0.000).

---

(8)
This record from Alexandria describes a geometry-optimized NiSn structure. The functional is GGA-PBE.

The crystal system is cubic. Its total energy is -4.7461 eV per atom. The value obtained for the density of states at the Fermi level is 0.80 states/eV/atom. The total magnetic moment comes out at 0.00 μB/f.u.

It has space group I-43m (No. 217), with a = 7.546 Å, b = 7.546 Å, c = 7.546 Å, α = 90.00°, β = 90.00° and γ = 90.00°. Symmetry generates all atoms from Ni at (0.115, 0.115, 0.115) and Sn at (0.201, 0.201, 0.799).

---

> total magnetic moment of number 5 (NaMnPt)?

0.00 μB/f.u.

---

> What is the total magnetic moment in the third record?

0.00 μB/f.u.

---

> Which formula does entry 7 have?

CaLaMoPd2